Record 1
# GGA-PBE Pa4H, optimized geometry
data_Pa4H
_space_group_name_H-M_alt 'P m -3 m'
_space_group_IT_number 221
_space_group_name_Hall '-P 4 2 3'
_cell_length_a 4.734
_cell_length_b 4.734
_cell_length_c 4.734
_cell_angle_alpha 90.00
_cell_angle_beta 90.00
_cell_angle_gamma 90.00
loop_
_atom_site_label
_atom_site_fract_x
_atom_site_fract_y
_atom_site_fract_z
_atom_site_occupancy
Pa1 0.000 0.000 0.000 1
Pa2 0.000 0.500 0.500 1
H1 0.500 0.500 0.500 1
# total DFT energy (no corrections)	-41.45	eV per formula unit
# density	14.5	Mg/m³
# calculated volume	21.2	Å³/atom

=====

Record 2
# GGA-PBE FeB2Pb, optimized geometry
data_FeB2Pb
_space_group_name_H-M_alt 'I 41/a m d'
_space_group_IT_number 141
_cell_length_a 3.878
_cell_length_b 3.878
_cell_length_c 14.163
_cell_angle_alpha 90.00
_cell_angle_beta 90.00
_cell_angle_gamma 90.00
loop_
_space_group_symop_operation_xyz
'x,y,z'
'-x,-y,-z'
'-y+1/4,x+3/4,z+1/4'
'y+1/4,-x+3/4,-z+1/4'
'-x+1/2,-y,z+1/2'
'x+1/2,y,-z+1/2'
'y+1/4,-x+1/4,z+3/4'
'-y+1/4,x+1/4,-z+3/4'
'x,-y,-z'
'-x,y,z'
'-y+1/4,-x+1/4,-z+3/4'
'y+1/4,x+1/4,z+3/4'
'-x+1/2,y,-z+1/2'
'x+1/2,-y,z+1/2'
'y+1/4,x+3/4,-z+1/4'
'-y+1/4,-x+3/4,z+1/4'
'x+1/2,y+1/2,z+1/2'
'-x+1/2,-y+1/2,-z+1/2'
'-y+3/4,x+1/4,z+3/4'
'y+3/4,-x+1/4,-z+3/4'
'-x,-y+1/2,z'
'x,y+1/2,-z'
'y+3/4,-x+3/4,z+1/4'
'-y+3/4,x+3/4,-z+1/4'
'x+1/2,-y+1/2,-z+1/2'
'-x+1/2,y+1/2,z+1/2'
'-y+3/4,-x+3/4,-z+1/4'
'y+3/4,x+3/4,z+1/4'
'-x,y+1/2,-z'
'x,-y+1/2,z'
'y+3/4,x+1/4,-z+3/4'
'-y+3/4,-x+1/4,z+3/4'
loop_
_atom_site_label
_atom_site_fract_x
_atom_site_fract_y
_atom_site_fract_z
_atom_site_occupancy
Fe1 0.000 0.250 0.375 1
B1 0.000 0.000 0.500 1
Pb1 0.000 0.250 0.875 1
# total DFT energy (no corrections)	-22.98	eV per formula unit
# density	8.9	Mg/m³
# formation energy	2.55	eV/f.u.
# calculated volume	13.3	Å³/atom